(1)
TcAuCl2: optimized geometry, PBE.

Computed properties:
* E_tot: -4.08 eV per atom
* M_tot: 0.00 μB per cell
* uncorrected formation energy: 253 meV per atom

abc: 8.2562 8.2562 5.3488
angles: 90.00 90.00 90.00
Space group I-42d (No. 122)
Unique sites:
1 Tc 0.0000 0.0000 0.0000
2 Au 0.0000 0.0000 0.5000
3 Cl 0.1061 0.2500 0.1250

***

(2)
TcAu2Cl: optimized geometry, PBE.

Computed properties:
* E_tot: -4.23 eV per atom
* M_tot: 2.48 μB per cell
* uncorrected formation energy: 457 meV per atom

abc: 2.9368 5.2092 9.3079
angles: 90.00 90.00 90.00
Space group Cmmm (No. 65)
Unique sites:
1 Tc 0.0000 0.0000 0.0000
2 Au 0.0000 0.5000 0.2480
3 Cl 0.0000 0.0000 0.5000

***

(3)
TcAuCl2: optimized geometry, PBE.

Computed properties:
* E_tot: -4.08 eV per atom
* M_tot: 2.26 μB per cell
* uncorrected formation energy: 254 meV per atom

abc: 3.0257 5.5399 9.6623
angles: 90.00 90.00 90.00
Space group Cmm2 (No. 35)
Unique sites:
1 Tc 0.0000 0.0000 0.0000
2 Au 0.0000 0.5000 0.7662
3 Cl 0.0000 0.0000 0.5486
4 Cl 0.0000 0.5000 0.1903